The following is a DFT calculation (PBE) of a relaxed SiMo2Au crystal.

a = 2.745 Å, b = 2.745 Å, c = 8.462 Å
α = 90.00°, β = 90.00°, γ = 90.00°
Positions (direct):
Au 0.500 0.500 0.746
Mo 0.000 0.000 0.006
Mo 0.500 0.500 0.264
Si 0.000 0.000 0.484

Summary:
- M_tot: 0.0 μB per cell
- Symmetry: P4mm, No. 99
- E_form (uncorrected): 0.261 eV/atom
- Electronic total energy: -7.330 eV/atom